The following is a DFT calculation (PBE) of a relaxed SiP2 crystal.

a b c (Å): 3.7809 2.4894 5.3419
angles (deg): 90.00 90.00 90.00
Fractional coordinates of all 3 atoms:
P (0.5000, 0.0000, 0.2086)
Si (0.0000, 0.0000, 0.5000)
P (0.5000, 0.0000, 0.7914)

Calculated values
ρ   2.97 g/cm3
E_form (uncorrected)   0.13 eV/atom
Excess energy over the best structure of this formula in the dataset   259 meV per atom

---

The following is a DFT calculation (PBE) of a relaxed SiP2 crystal.

a b c (Å): 4.9343 4.9343 4.9343
angles (deg): 114.10 114.10 100.56
Fractional coordinates of all 6 atoms:
P (0.3560, 0.1440, 0.5000)
P (0.8560, 0.3560, 0.2119)
Si (0.7500, 0.7500, 0.0000)
P (0.6440, 0.8560, 0.5000)
Si (0.2500, 0.2500, 0.0000)
P (0.1440, 0.6440, 0.7881)

Calculated values
ρ   3.29 g/cm3
E_form (uncorrected)   0.32 eV/atom
Excess energy over the best structure of this formula in the dataset   443 meV per atom

---

The following is a DFT calculation (PBE) of a relaxed SiP2 crystal.

a b c (Å): 3.6285 3.6507 4.9739
angles (deg): 111.35 89.97 119.81
Fractional coordinates of all 3 atoms:
P (0.9184, 0.8373, 0.7619)
Si (0.5000, 0.0000, 0.5000)
P (0.0816, 0.1627, 0.2381)

Calculated values
ρ   2.88 g/cm3
E_form (uncorrected)   0.02 eV/atom
Excess energy over the best structure of this formula in the dataset   150 meV per atom

---

The following is a DFT calculation (PBE) of a relaxed Si3P crystal.

a b c (Å): 5.7579 5.7579 4.1493
angles (deg): 90.00 90.00 108.54
Fractional coordinates of all 8 atoms:
P (0.4509, 0.5491, 0.2500)
Si (0.6070, 0.9720, 0.2500)
Si (0.3930, 0.0280, 0.7500)
Si (0.0280, 0.3930, 0.2500)
Si (0.0707, 0.9293, 0.2500)
Si (0.9293, 0.0707, 0.7500)
Si (0.9720, 0.6070, 0.7500)
P (0.5491, 0.4509, 0.7500)

Calculated values
ρ   2.93 g/cm3
E_form (uncorrected)   0.32 eV/atom
Excess energy over the best structure of this formula in the dataset   92 meV per atom

---

The following is a DFT calculation (PBE) of a relaxed Si3P crystal.

a b c (Å): 4.6673 4.6673 4.6673
angles (deg): 90.00 90.00 90.00
Fractional coordinates of all 4 atoms:
Si (0.0000, 0.5000, 0.0000)
P (0.0000, 0.0000, 0.0000)
Si (0.5000, 0.0000, 0.0000)
Si (0.0000, 0.0000, 0.5000)

Calculated values
ρ   1.88 g/cm3
E_form (uncorrected)   1.24 eV/atom
Excess energy over the best structure of this formula in the dataset   1014 meV per atom

---

The following is a DFT calculation (PBE) of a relaxed Si3P4 crystal.

a b c (Å): 5.0021 5.0021 4.8880
angles (deg): 90.00 90.00 120.00
Fractional coordinates of all 7 atoms:
P (0.6667, 0.3333, 0.5000)
Si (0.0000, 0.5000, 0.0000)
P (0.0000, 0.0000, 0.7194)
Si (0.5000, 0.0000, 0.0000)
Si (0.5000, 0.5000, 0.0000)
P (0.0000, 0.0000, 0.2806)
P (0.3333, 0.6667, 0.5000)

Calculated values
ρ   3.26 g/cm3
E_form (uncorrected)   0.76 eV/atom

---

The following is a DFT calculation (PBE) of a relaxed SiP2 crystal.

a b c (Å): 4.3896 4.3896 5.0819
angles (deg): 90.00 90.00 120.00
Fractional coordinates of all 6 atoms:
Si (0.3333, 0.6667, 0.7500)
P (0.0000, 0.0000, 0.0000)
P (0.6667, 0.3333, 0.7500)
P (0.0000, 0.0000, 0.5000)
P (0.3333, 0.6667, 0.2500)
Si (0.6667, 0.3333, 0.2500)

Calculated values
ρ   3.53 g/cm3
E_form (uncorrected)   0.59 eV/atom
Excess energy over the best structure of this formula in the dataset   716 meV per atom

---

The following is a DFT calculation (PBE) of a relaxed SiP2 crystal.

a b c (Å): 5.1519 5.1519 5.1519
angles (deg): 145.51 145.51 49.58
Fractional coordinates of all 3 atoms:
P (0.6508, 0.6508, 0.0000)
P (0.0159, 0.0159, 0.0000)
Si (0.3333, 0.3333, 0.0000)

Calculated values
ρ   3.43 g/cm3
E_form (uncorrected)   0.59 eV/atom
Excess energy over the best structure of this formula in the dataset   717 meV per atom

---

| no. | total moment (μB/cell) | total energy (eV for the cell shown) |
| --- | --- | --- |
| 1 | 0.000 | -15.84 |
| 2 | 0.000 | -30.58 |
| 3 | 0.000 | -16.17 |
| 4 | 0.000 | -40.78 |
| 5 | 0.000 | -16.70 |
| 6 | 0.000 | -32.56 |
| 7 | 0.000 | -28.94 |
| 8 | 0.000 | -14.47 |